# 1
## La3W2N6 (PBE)

Data for an optimized crystal structure of La3W2N6.

## Properties
- Magnetization: 0.0 μB per cell
- Raw total energy: -206.166 eV/cell

CIF file:
```
data_La3W2N6
_cell_length_a 4.011
_cell_length_b 4.011
_cell_length_c 19.884
_cell_angle_alpha 90.00
_cell_angle_beta 90.00
_cell_angle_gamma 90.00
_space_group_name_H-M_alt 'I 4/m m m'
_space_group_IT_number 139
_space_group_name_Hall '-I 4 2'
loop_
_atom_site_label
_atom_site_fract_x
_atom_site_fract_y
_atom_site_fract_z
La1 0.000 0.000 0.000
La2 0.000 0.000 0.182
W1 0.000 0.000 0.402
N1 0.000 0.000 0.304
N2 0.000 0.500 0.087
```

***

# 2
## LaWN3 (PBE)

Data for an optimized crystal structure of LaWN3.

## Properties
- Magnetization: 0.0 μB per cell
- Raw total energy: -191.067 eV/cell

CIF file:
```
data_LaWN3
_cell_length_a 5.627
_cell_length_b 7.949
_cell_length_c 5.677
_cell_angle_alpha 90.00
_cell_angle_beta 90.00
_cell_angle_gamma 90.00
_space_group_name_H-M_alt 'P n m a'
_space_group_IT_number 62
loop_
_space_group_symop_operation_xyz
'x,y,z'
'-x,-y,-z'
'-x+1/2,-y,z+1/2'
'x+1/2,y,-z+1/2'
'x+1/2,-y+1/2,-z+1/2'
'-x+1/2,y+1/2,z+1/2'
'-x,y+1/2,-z'
'x,-y+1/2,z'
loop_
_atom_site_label
_atom_site_fract_x
_atom_site_fract_y
_atom_site_fract_z
La1 0.015 0.250 0.002
W1 0.000 0.000 0.500
N1 0.004 0.750 0.440
N2 0.229 0.531 0.769
```

***

# 3
## NaLaScNbO6 (PBE)

Data for an optimized crystal structure of NaLaScNbO6.

## Properties
- Magnetization: 0.0 μB per cell
- Raw total energy: -329.290 eV/cell

CIF file:
```
data_NaLaScNbO6
_cell_length_a 7.933
_cell_length_b 8.018
_cell_length_c 8.016
_cell_angle_alpha 90.00
_cell_angle_beta 90.21
_cell_angle_gamma 90.00
_space_group_name_H-M_alt 'C 1 2/m 1'
_space_group_IT_number 12
loop_
_space_group_symop_operation_xyz
'x,y,z'
'-x,-y,-z'
'-x,y,-z'
'x,-y,z'
'x+1/2,y+1/2,z'
'-x+1/2,-y+1/2,-z'
'-x+1/2,y+1/2,-z'
'x+1/2,-y+1/2,z'
loop_
_atom_site_label
_atom_site_fract_x
_atom_site_fract_y
_atom_site_fract_z
Na1 0.000 0.244 0.000
La1 0.000 0.246 0.500
Sc1 0.247 0.500 0.245
Nb1 0.248 0.000 0.235
O1 0.005 0.000 0.196
O2 0.006 0.500 0.681
O3 0.184 0.000 0.499
O4 0.187 0.500 0.993
O5 0.249 0.245 0.278
```

***

# 4
## NaLaNd (PBE)

Data for an optimized crystal structure of NaLaNd.

## Properties
- Magnetization: 10.4 μB per cell
- Raw total energy: -35.645 eV/cell

CIF file:
```
data_NaLaNd
_cell_length_a 7.757
_cell_length_b 7.757
_cell_length_c 7.757
_cell_angle_alpha 90.00
_cell_angle_beta 90.00
_cell_angle_gamma 90.00
_space_group_name_H-M_alt 'F -4 3 m'
_space_group_IT_number 216
_space_group_name_Hall 'F -4 2 3'
loop_
_atom_site_label
_atom_site_fract_x
_atom_site_fract_y
_atom_site_fract_z
Na1 0.000 0.000 0.000
La1 0.250 0.250 0.750
Nd1 0.250 0.250 0.250
```